A geometry-optimized K4Pu3FeO12 structure, computed with PBE with a Hubbard U.

Summary:
magnetic moment = 12.00 μB/f.u.
E = -7.909 eV per atom
crystal system = cubic

a b c (Å): 7.262 7.262 7.262
angles (deg): 109.47 109.47 109.47
Site moments in Bohr magnetons follow the coordinates.
Fractional positions:
K1 0.500 0.500 0.500  0.00
K2 0.000 0.000 0.500  0.00
K3 0.500 0.000 0.000  0.00
K4 0.000 0.500 0.000  0.00
Pu1 0.500 0.000 0.500  2.87
Pu2 0.500 0.500 0.000  2.87
Pu3 0.000 0.500 0.500  2.87
Fe1 0.000 0.000 0.000  4.27
O1 0.250 0.500 0.750  -0.10
O2 0.746 0.000 0.746  -0.06
O3 0.254 0.000 0.254  -0.06
O4 0.750 0.500 0.250  -0.10
O5 0.746 0.746 0.000  -0.06
O6 0.254 0.254 0.000  -0.06
O7 0.750 0.250 0.500  -0.10
O8 0.250 0.750 0.500  -0.10
O9 0.500 0.250 0.750  -0.10
O10 0.000 0.746 0.746  -0.06
O11 0.500 0.750 0.250  -0.10
O12 0.000 0.254 0.254  -0.06